MgW2CO: optimized geometry, GGA+U.

Computed properties:
Theoretical density = 9.0 g/cm³
Final energy = -5.0828 eV/atom
Magnetic moment = 3.58 μB per cell

The structure in CIF format:
```
data_MgW2CO
_symmetry_space_group_name_H-M 'P 4/m m m'
_symmetry_Int_Tables_number 123
_symmetry_space_group_name_Hall '-P 4 2'
_cell_length_a 4.182
_cell_length_b 4.182
_cell_length_c 4.434
_cell_angle_alpha 90.00
_cell_angle_beta 90.00
_cell_angle_gamma 90.00
loop_
_atom_site_label
_atom_site_fract_x
_atom_site_fract_y
_atom_site_fract_z
Mg1 0.000 0.000 0.000
W1 0.000 0.500 0.500
C1 0.000 0.000 0.500
O1 0.500 0.500 0.000
```